1.
KBa2Ag: relaxed, PBE-GGA.

Structure (CIF):
```
data_KBa2Ag
_chemical_formula_sum 'K4 Ba8 Ag4'
_symmetry_space_group_name_H-M 'F m -3 m'
_symmetry_Int_Tables_number 225
_symmetry_space_group_name_Hall '-F 4 2 3'
_cell_length_a 9.028
_cell_length_b 9.028
_cell_length_c 9.028
_cell_angle_alpha 90.00
_cell_angle_beta 90.00
_cell_angle_gamma 90.00
loop_
_atom_site_label
_atom_site_type_symbol
_atom_site_fract_x
_atom_site_fract_y
_atom_site_fract_z
_atom_site_occupancy
K1 K 0.000 0.000 0.000 1
Ba1 Ba 0.250 0.250 0.250 1
Ag1 Ag 0.000 0.000 0.500 1
```

2.
KBa2Ag: relaxed, PBE-GGA.

Structure (CIF):
```
data_KBa2Ag
_chemical_formula_sum 'K1 Ba2 Ag1'
_symmetry_space_group_name_H-M 'P 1 m 1'
_symmetry_Int_Tables_number 6
_cell_length_a 4.868
_cell_length_b 4.599
_cell_length_c 10.103
_cell_angle_alpha 90.00
_cell_angle_beta 103.93
_cell_angle_gamma 90.00
loop_
_symmetry_equiv_pos_as_xyz
'x,y,z'
'x,-y,z'
loop_
_atom_site_label
_atom_site_type_symbol
_atom_site_fract_x
_atom_site_fract_y
_atom_site_fract_z
_atom_site_occupancy
K1 K 0.000 0.000 0.000 1
Ba1 Ba 0.322 0.000 0.640 1
Ba2 Ba 0.670 0.500 0.337 1
Ag1 Ag 0.849 0.500 0.695 1
```

3.
KBa3Ag: relaxed, PBE-GGA.

Structure (CIF):
```
data_KBa3Ag
_chemical_formula_sum 'K1 Ba3 Ag1'
_symmetry_space_group_name_H-M 'P m -3 m'
_symmetry_Int_Tables_number 221
_symmetry_space_group_name_Hall '-P 4 2 3'
_cell_length_a 6.692
_cell_length_b 6.692
_cell_length_c 6.692
_cell_angle_alpha 90.00
_cell_angle_beta 90.00
_cell_angle_gamma 90.00
loop_
_atom_site_label
_atom_site_type_symbol
_atom_site_fract_x
_atom_site_fract_y
_atom_site_fract_z
_atom_site_occupancy
K1 K 0.000 0.000 0.000 1
Ba1 Ba 0.000 0.500 0.500 1
Ag1 Ag 0.500 0.500 0.500 1
```

4.
KBaAg2: relaxed, PBE-GGA.

Structure (CIF):
```
data_KBaAg2
_chemical_formula_sum 'K1 Ba1 Ag2'
_symmetry_space_group_name_H-M 'P 4/m m m'
_symmetry_Int_Tables_number 123
_symmetry_space_group_name_Hall '-P 4 2'
_cell_length_a 5.788
_cell_length_b 5.788
_cell_length_c 4.125
_cell_angle_alpha 90.00
_cell_angle_beta 90.00
_cell_angle_gamma 90.00
loop_
_atom_site_label
_atom_site_type_symbol
_atom_site_fract_x
_atom_site_fract_y
_atom_site_fract_z
_atom_site_occupancy
K1 K 0.000 0.000 0.000 1
Ba1 Ba 0.500 0.500 0.000 1
Ag1 Ag 0.000 0.500 0.500 1
```

5.
KBa2Ag: relaxed, PBE-GGA.

Structure (CIF):
```
data_KBa2Ag
_chemical_formula_sum 'K1 Ba2 Ag1'
_symmetry_space_group_name_H-M 'P 4 m m'
_symmetry_Int_Tables_number 99
_cell_length_a 4.275
_cell_length_b 4.275
_cell_length_c 11.057
_cell_angle_alpha 90.00
_cell_angle_beta 90.00
_cell_angle_gamma 90.00
loop_
_symmetry_equiv_pos_as_xyz
'x,y,z'
'-y,x,z'
'-x,-y,z'
'y,-x,z'
'-x,y,z'
'y,x,z'
'x,-y,z'
'-y,-x,z'
loop_
_atom_site_label
_atom_site_type_symbol
_atom_site_fract_x
_atom_site_fract_y
_atom_site_fract_z
_atom_site_occupancy
K1 K 0.000 0.000 0.000 1
Ba1 Ba 0.000 0.000 0.359 1
Ba2 Ba 0.500 0.500 0.671 1
Ag1 Ag 0.500 0.500 0.202 1
```

6.
KBaAg2: relaxed, PBE-GGA.

Structure (CIF):
```
data_KBaAg2
_chemical_formula_sum 'K1 Ba1 Ag2'
_symmetry_space_group_name_H-M 'P 4/m m m'
_symmetry_Int_Tables_number 123
_symmetry_space_group_name_Hall '-P 4 2'
_cell_length_a 4.177
_cell_length_b 4.177
_cell_length_c 8.257
_cell_angle_alpha 90.00
_cell_angle_beta 90.00
_cell_angle_gamma 90.00
loop_
_atom_site_label
_atom_site_type_symbol
_atom_site_fract_x
_atom_site_fract_y
_atom_site_fract_z
_atom_site_occupancy
K1 K 0.000 0.000 0.000 1
Ba1 Ba 0.000 0.000 0.500 1
Ag1 Ag 0.500 0.500 0.277 1
```

7.
KBaAg4: relaxed, PBE-GGA.

Structure (CIF):
```
data_KBaAg4
_chemical_formula_sum 'K2 Ba2 Ag8'
_symmetry_space_group_name_H-M 'I m m m'
_symmetry_Int_Tables_number 71
_symmetry_space_group_name_Hall '-I 2 2'
_cell_length_a 4.883
_cell_length_b 8.448
_cell_length_c 8.828
_cell_angle_alpha 90.00
_cell_angle_beta 90.00
_cell_angle_gamma 90.00
loop_
_atom_site_label
_atom_site_type_symbol
_atom_site_fract_x
_atom_site_fract_y
_atom_site_fract_z
_atom_site_occupancy
K1 K 0.000 0.000 0.000 1
Ba1 Ba 0.000 0.000 0.500 1
Ag1 Ag 0.000 0.333 0.245 1
```

8.
KBa2Ag: relaxed, PBE-GGA.

Structure (CIF):
```
data_KBa2Ag
_chemical_formula_sum 'K1 Ba2 Ag1'
_symmetry_space_group_name_H-M 'P m m m'
_symmetry_Int_Tables_number 47
_cell_length_a 5.220
_cell_length_b 5.785
_cell_length_c 6.163
_cell_angle_alpha 90.00
_cell_angle_beta 90.00
_cell_angle_gamma 90.00
loop_
_symmetry_equiv_pos_as_xyz
'x,y,z'
'-x,-y,-z'
'-x,-y,z'
'x,y,-z'
'x,-y,-z'
'-x,y,z'
'-x,y,-z'
'x,-y,z'
loop_
_atom_site_label
_atom_site_type_symbol
_atom_site_fract_x
_atom_site_fract_y
_atom_site_fract_z
_atom_site_occupancy
K1 K 0.000 0.000 0.000 1
Ba1 Ba 0.500 0.000 0.500 1
Ba2 Ba 0.500 0.500 0.000 1
Ag1 Ag 0.000 0.500 0.500 1
```

Calculated size of the total moment in order - 0.0, 0.0, 0.0, 0.0, 0.0, 0.0, 0.0, 0.0 μB per formula unit
Calculated ΔH_f (0 K) in order - 0.12, -0.04, -0.06, -0.07, -0.01, -0.09, -0.10, 0.11 eV/atom
Calculated distance to the lowest polymorph of the same formula in order - 0.217, 0.062, 0.000, 0.048, 0.084, 0.034, 0.000, 0.209 eV per atom